Here is BaTe2Mo after structural relaxation from the Alexandria database. Energies are from GGA-PBEsol.

ρ: 8.088 g/cm³
E: -5.29 eV per atom
SG: No. 225
Energy above the most stable polymorph in this dataset: 416 meV/atom
Formation energy without anion corrections: -0.0519 eV per atom

Cell: 5.215 5.215 5.215 Å, 60.00 60.00 60.00°
Element x y z (fractional)
1 Ba 0.000 0.000 0.000
2 Te 0.250 0.250 0.250
3 Te 0.750 0.750 0.750
4 Mo 0.500 0.500 0.500